The following is a DFT calculation (PBE) of a relaxed structure of Y2MnAuI.

Space-group type: No. 123
Electronic total energy in eV per atom: -5.242
N(E_F) in states/eV/atom: 0.869
Size of the total moment in μB per formula unit: 1.18
Calculated volume in Å³/atom: 26.295
Energy relative to the elements, uncorrected in eV per atom: 0.14

```
Y2MnAuI
1.0
5.2285 0.0000 0.0000
0.0000 5.2285 0.0000
0.0000 0.0000 4.8095
Au Y Mn I
1 2 1 1
Cartesian
2.6142 2.6142 2.4047 Au
2.6142 0.0000 0.0000 Y
0.0000 2.6142 0.0000 Y
0.0000 0.0000 0.0000 Mn
0.0000 0.0000 2.4047 I
```